First-principles (PBE) data for a relaxed structure of K2FeRh, as listed in Alexandria via LeMat-Bulk.

Cell and atoms, written as POSCAR:
```
K2FeRh
1.0
-2.5577 -4.3121 2.0734
2.5478 -1.3929 0.2460
2.4411 1.1329 5.3674
K Fe Rh
2 1 1
Direct
0.0000 0.0199 0.0044
0.0000 0.4801 0.4956
0.5000 0.7500 0.7500
0.5000 0.2500 0.2500
```

Properties
uncorrected energy	-13.9	eV/cell
crystal system	monoclinic
energy of formation	1.03	eV per atom
polymorph energy (0 for the lowest one)	575	meV per atom



First-principles (PBE) data for a relaxed structure of KFeRh2, as listed in Alexandria via LeMat-Bulk.

Cell and atoms, written as POSCAR:
```
KFeRh2
1.0
4.3101 0.0000 0.0000
0.0000 2.7790 -0.0213
0.0000 1.4568 6.7893
Rh Fe K
2 1 1
Direct
0.0000 0.0105 0.1056
0.5000 0.4471 0.2311
0.0000 0.3573 0.4098
0.5000 0.6851 0.7536
```

Properties
uncorrected energy	-22.1	eV/cell
crystal system	monoclinic
energy of formation	0.55	eV per atom
polymorph energy (0 for the lowest one)	183	meV per atom



First-principles (PBE) data for a relaxed structure of KFeRh, as listed in Alexandria via LeMat-Bulk.

Cell and atoms, written as POSCAR:
```
KFeRh
1.0
-4.9973 3.9924 -4.4836
0.6433 -1.6280 -2.1668
-3.4355 -3.9295 3.7376
Fe Rh K
2 2 2
Direct
0.1111 0.1211 0.4797
0.8535 0.5866 0.4110
0.6298 0.1393 0.5158
0.3345 0.5680 0.3741
0.9822 0.8564 0.9452
0.4822 0.8494 0.9451
```

Properties
uncorrected energy	-30.7	eV/cell
crystal system	triclinic
energy of formation	0.52	eV per atom
polymorph energy (0 for the lowest one)	207	meV per atom